[1]
A geometry-optimized InRe2Os2 structure, computed with GGA-PBE.

Output
- crystal system = tetragonal
- total energy (eV per formula unit) = -48.33
- SG = P4/mbm
- formation energy from the elements (eV/atom) = 0.3522
- total magnetization (μB/cell) = 0.00
- DOS at the Fermi energy (states/eV per atom) = 0.676

a b c (Å): 7.7174 7.7174 2.7962
angles (deg): 90.00 90.00 90.00
Closest atoms and distances in Å follow each position.
Element x y z (fractional)
In  0.0000  0.0000  0.0000  2 In 2.80, 4 Re 3.05
In  0.5000  0.5000  0.0000  2 In 2.80, 4 Re 3.05
Re  0.6241  0.1241  0.0000  6 Os 2.63-2.72, 3 Re 2.71-2.80
Re  0.3759  0.8759  0.0000  6 Os 2.63-2.72, 3 Re 2.71-2.80
Re  0.1241  0.3759  0.0000  6 Os 2.63-2.72, 3 Re 2.71-2.80
Re  0.8759  0.6241  0.0000  6 Os 2.63-2.72, 3 Re 2.71-2.80
Os  0.3379  0.1621  0.5000  6 Re 2.63-2.72, 2 Os 2.80
Os  0.6621  0.8379  0.5000  6 Re 2.63-2.72, 2 Os 2.80
Os  0.8379  0.3379  0.5000  6 Re 2.63-2.72, 2 Os 2.80
Os  0.1621  0.6621  0.5000  6 Re 2.63-2.72, 2 Os 2.80



[2]
A geometry-optimized NbAlCo3 structure, computed with GGA-PBE.

Output
- crystal system = cubic
- total energy (eV per formula unit) = -31.24
- SG = Pm-3m
- formation energy from the elements (eV/atom) = 0.7789
- total magnetization (μB/cell) = 0.98
- DOS at the Fermi energy (states/eV per atom) = 1.891

a b c (Å): 4.1457 4.1457 4.1457
angles (deg): 90.00 90.00 90.00
Closest atoms and distances in Å follow each position.
Element x y z (fractional)
Co  0.5000  0.0000  0.0000  2 Al 2.07
Co  0.0000  0.5000  0.0000  2 Al 2.07
Co  0.0000  0.0000  0.5000  2 Al 2.07
Al  0.0000  0.0000  0.0000  6 Co 2.07
Nb  0.5000  0.5000  0.5000  12 Co 2.93



[3]
A geometry-optimized ReBi2Pb structure, computed with GGA-PBE.

Output
- crystal system = tetragonal
- total energy (eV per formula unit) = -20.09
- SG = I-42d
- formation energy from the elements (eV/atom) = 0.9581
- total magnetization (μB/cell) = 0.00
- DOS at the Fermi energy (states/eV per atom) = 1.494

a b c (Å): 6.6971 6.6971 8.1617
angles (deg): 65.78 65.78 90.00
Closest atoms and distances in Å follow each position.
Element x y z (fractional)
Bi  0.8750  0.8091  0.7500  2 Re 2.66
Bi  0.5591  0.1250  0.2500  2 Re 2.66
Bi  0.1909  0.6250  0.2500  2 Re 2.66
Bi  0.3750  0.4409  0.7500  2 Re 2.66
Pb  0.0000  0.0000  0.0000  4 Bi 3.17
Pb  0.7500  0.2500  0.5000  4 Bi 3.17
Re  0.5000  0.5000  0.0000  4 Bi 2.66
Re  0.2500  0.7500  0.5000  4 Bi 2.66



[4]
A geometry-optimized Sr2ZrTe structure, computed with GGA-PBE.

Output
- crystal system = orthorhombic
- total energy (eV per formula unit) = -16.13
- SG = Imm2
- raw formation energy (eV per atom) = -0.269
- total magnetization (μB/cell) = 0.00
- DOS at the Fermi energy (states/eV per atom) = 1.347

a b c (Å): 7.0230 7.0230 7.0230
angles (deg): 147.87 131.10 59.72
Closest atoms and distances in Å follow each position.
Element x y z (fractional)
Zr  0.7036  0.2036  0.5000  2 Te 2.94
Sr  0.9866  0.9866  0.0000  4 Te 3.52, 4 Sr 3.79-3.89, 2 Zr 3.93
Sr  0.2872  0.7872  0.5000  2 Te 3.47, 4 Zr 3.64, 2 Sr 3.79
Te  0.5227  0.5227  0.0000  2 Zr 2.94



[5]
A geometry-optimized SrIn4Hg15 structure, computed with GGA-PBE.

Output
- crystal system = tetragonal
- total energy (eV per formula unit) = -18.97
- SG = P4/mmm
- formation energy from the elements (eV/atom) = -0.0906
- total magnetization (μB/cell) = 0.00
- DOS at the Fermi energy (states/eV per atom) = 0.212

a b c (Å): 5.1394 5.1394 20.3630
angles (deg): 90.00 90.00 90.00
Closest atoms and distances in Å follow each position.
Element x y z (fractional)
Hg  0.0000  0.5000  0.6987  4 In 3.20-3.25, 4 Hg 3.26
Hg  0.0000  0.5000  0.3013  4 In 3.20-3.25, 4 Hg 3.26
Hg  0.5000  0.5000  0.4001  8 Hg 3.26-3.28, 4 In 3.63
Hg  0.5000  0.5000  0.7974  8 Hg 3.21-3.26
Hg  0.5000  0.0000  0.5000  8 Hg 3.28-3.63, 4 In 3.29
Hg  0.5000  0.5000  0.2026  8 Hg 3.21-3.26
Hg  0.5000  0.0000  0.3013  4 In 3.20-3.25, 4 Hg 3.26
Hg  0.5000  0.0000  0.6987  4 In 3.20-3.25, 4 Hg 3.26
Hg  0.5000  0.0000  0.8918  4 Hg 3.21-3.39, 2 In 3.27, 2 Sr 3.39
Hg  0.5000  0.5000  0.0000  8 Hg 3.39, 4 Sr 3.63
Hg  0.5000  0.5000  0.5999  8 Hg 3.26-3.28, 4 In 3.63
Hg  0.0000  0.5000  0.5000  8 Hg 3.28-3.63, 4 In 3.29
Hg  0.5000  0.0000  0.1082  4 Hg 3.21-3.39, 2 In 3.27, 2 Sr 3.39
Hg  0.0000  0.5000  0.8918  4 Hg 3.21-3.39, 2 In 3.27, 2 Sr 3.39
Hg  0.0000  0.5000  0.1082  4 Hg 3.21-3.39, 2 In 3.27, 2 Sr 3.39
In  0.0000  0.0000  0.7926  8 Hg 3.20-3.27
In  0.0000  0.0000  0.2074  8 Hg 3.20-3.27
In  0.0000  0.0000  0.6011  12 Hg 3.25-3.63
In  0.0000  0.0000  0.3989  12 Hg 3.25-3.63
Sr  0.0000  0.0000  0.0000  12 Hg 3.39-3.63



[6]
A geometry-optimized Sr2CaW structure, computed with GGA-PBE.

Output
- crystal system = cubic
- total energy (eV per formula unit) = -14.26
- SG = Fm-3m
- formation energy from the elements (eV/atom) = 1.0142
- total magnetization (μB/cell) = 2.31
- DOS at the Fermi energy (states/eV per atom) = 0.833

a b c (Å): 5.7391 5.7391 5.7391
angles (deg): 60.00 60.00 60.00
Closest atoms and distances in Å follow each position.
Element x y z (fractional)
Sr  0.2500  0.2500  0.2500  4 W 3.51, 4 Ca 3.51
Sr  0.7500  0.7500  0.7500  4 W 3.51, 4 Ca 3.51
W  0.5000  0.5000  0.5000  8 Sr 3.51
Ca  0.0000  0.0000  0.0000  8 Sr 3.51